Record 1
A geometry-optimized CuTe2ICl structure. Source: the Alexandria database, functional GGA-PBE.

Summary:
V: 33.29 A^3/atom
magnetization: 0.0 μB per formula unit
formation energy from raw total energies: 0.984 eV/atom

a b c (Å): 5.4540 5.4540 5.5958
angles (deg): 90.00 90.00 90.00
Fractional coordinates of all 5 atoms:
1 I 0.0000 0.0000 0.5000
2 Te 0.0000 0.5000 0.0000
3 Te 0.5000 0.0000 0.0000
4 Cu 0.5000 0.5000 0.5000
5 Cl 0.0000 0.0000 0.0000

Record 2
A geometry-optimized YPuAgPd structure. Source: the Alexandria database, functional GGA-PBE.

Summary:
V: 23.23 A^3/atom
calculated formation energy: -0.314 eV/atom
magnetization: 5.8 μB per formula unit

a b c (Å): 5.0844 5.0844 5.0844
angles (deg): 60.00 60.00 60.00
Fractional coordinates of all 4 atoms:
1 Y 0.2500 0.2500 0.2500
2 Pd 0.5000 0.5000 0.5000
3 Ag 0.0000 0.0000 0.0000
4 Pu 0.7500 0.7500 0.7500

Record 3
A geometry-optimized PuGeCl structure. Source: the Alexandria database, functional GGA-PBE.

Summary:
V: 26.65 A^3/atom
magnetization: 5.7 μB per formula unit
formation energy from raw total energies: -1.041 eV/atom

a b c (Å): 4.2070 4.2070 10.7074
angles (deg): 90.16 101.16 120.01
Fractional coordinates of all 6 atoms:
1 Pu 0.8662 0.4315 0.2977
2 Pu 0.1338 0.5685 0.7023
3 Ge 0.3098 0.1546 0.4644
4 Ge 0.6902 0.8454 0.5356
5 Cl 0.5623 0.2837 0.8460
6 Cl 0.4377 0.7163 0.1540

Record 4
A geometry-optimized MnBe3As structure. Source: the Alexandria database, functional GGA-PBE.

Summary:
V: 13.29 A^3/atom
calculated formation energy: 1.015 eV/atom
magnetization: 0.4 μB per formula unit

a b c (Å): 4.0505 4.0505 4.0505
angles (deg): 90.00 90.00 90.00
Fractional coordinates of all 5 atoms:
1 Be 0.0000 0.5000 0.0000
2 Be 0.0000 0.0000 0.5000
3 Be 0.5000 0.0000 0.0000
4 As 0.5000 0.5000 0.5000
5 Mn 0.0000 0.0000 0.0000

Record 5
A geometry-optimized AcHo2Tm3 structure. Source: the Alexandria database, functional GGA-PBE.

Summary:
V: 33.43 A^3/atom
calculated formation energy: 0.148 eV/atom
magnetization: 0.0 μB per formula unit

a b c (Å): 3.5535 10.4402 11.5805
angles (deg): 108.86 98.83 90.00
Fractional coordinates of all 12 atoms:
1 Ac 0.3203 0.9629 0.6407
2 Ac 0.6797 0.0371 0.3593
3 Ho 0.3078 0.6234 0.6155
4 Ho 0.6922 0.3766 0.3845
5 Ho 0.9368 0.8489 0.8736
6 Ho 0.0632 0.1511 0.1264
7 Tm 0.3046 0.2901 0.6093
8 Tm 0.0672 0.7467 0.1344
9 Tm 0.4410 0.5562 0.8821
10 Tm 0.6954 0.7099 0.3907
11 Tm 0.5590 0.4438 0.1179
12 Tm 0.9328 0.2533 0.8656

Record 6
A geometry-optimized Ta2Ti2Fe structure. Source: the Alexandria database, functional GGA-PBE.

Summary:
V: 17.20 A^3/atom
calculated formation energy: 0.107 eV/atom
magnetization: 0.0 μB per formula unit

a b c (Å): 4.2146 4.2146 10.1331
angles (deg): 102.00 102.00 90.00
Fractional coordinates of all 10 atoms:
1 Ta 0.4239 0.9239 0.8477
2 Ta 0.6739 0.6739 0.3477
3 Ta 0.3261 0.3261 0.6523
4 Ta 0.0761 0.5761 0.1523
5 Ti 0.8234 0.8234 0.6469
6 Ti 0.5734 0.0734 0.1469
7 Ti 0.9266 0.4266 0.8531
8 Ti 0.1766 0.1766 0.3531
9 Fe 0.5000 0.5000 0.0000
10 Fe 0.2500 0.7500 0.5000